(1)
DFT (PBE-GGA) results for a geometry-optimized Pm7Cu2Pt2 structure.

Properties
Mass density   8.0 g/cm3
Uncorrected energy   -5.168 eV per atom
Symmetry   Cmmm (65)
Energy of formation   -29 kJ per mole of atoms

a = 6.7774 Å, b = 7.2954 Å, c = 6.7774 Å
α = 90.00°, β = 109.29°, γ = 90.00°
Last column: nearest neighbours and their distance in Å.
Element x y z (fractional)
Pm1 0.0000 0.0000 0.0000  2 Pt 3.22
Pm2 0.0002 0.7298 0.4997  2 Pt 2.82
Pm3 0.5002 0.7371 0.4998  2 Pt 3.00, 2 Cu 3.13
Pm4 0.4998 0.2629 0.5002  2 Pt 3.00, 2 Cu 3.13
Pm5 0.5003 0.7298 0.9998  2 Pt 2.82
Pm6 0.9998 0.2702 0.5003  2 Pt 2.82
Pm7 0.4997 0.2702 0.0002  2 Pt 2.82
Pt1 0.2911 0.0000 0.7089  6 Pm 2.82-3.00
Pt2 0.7089 0.0000 0.2911  6 Pm 2.82-3.00
Cu1 0.8328 0.5000 0.8328  1 Cu 2.62
Cu2 0.1672 0.5000 0.1672  1 Cu 2.62

(2)
DFT (PBE-GGA) results for a geometry-optimized Pu3ZrCo8 structure.

Properties
Mass density   12.3 g/cm3
Uncorrected energy   -9.210 eV per atom
Symmetry   R3m (160)
Energy of formation   -17 kJ per mole of atoms

a = 4.9880 Å, b = 4.9880 Å, c = 8.6144 Å
α = 73.17°, β = 73.17°, γ = 60.00°
Last column: nearest neighbours and their distance in Å.
Element x y z (fractional)
Co1 0.9381 0.9381 0.6826  6 Co 2.46-2.51
Co2 0.4375 0.4375 0.1927  6 Co 2.47-2.52
Co3 0.9323 0.4375 0.1927  6 Co 2.47-2.52
Co4 0.4375 0.9323 0.1927  6 Co 2.47-2.52
Co5 0.6877 0.6877 0.9370  6 Co 2.51-2.52
Co6 0.9381 0.4413 0.6826  6 Co 2.46-2.51
Co7 0.4413 0.9381 0.6826  6 Co 2.46-2.51
Co8 0.1874 0.1874 0.4379  6 Co 2.46-2.47
Pu1 0.4991 0.4991 0.5027  12 Co 2.89-2.93, 1 Pu 3.05, 3 Zr 3.07
Pu2 0.3737 0.3737 0.8788  12 Co 2.92-2.96, 4 Pu 3.03-3.05
Pu3 0.0015 0.0015 0.9955  12 Co 2.92-2.96, 3 Pu 3.03, 1 Zr 3.06
Zr1 0.8759 0.8759 0.3722  12 Co 2.89-2.93, 4 Pu 3.06-3.07

(3)
DFT (PBE-GGA) results for a geometry-optimized Ho7AgIr4 structure.

Properties
Mass density   11.8 g/cm3
Uncorrected energy   -6.398 eV per atom
Symmetry   C2/m (12)
Energy of formation   -52 kJ per mole of atoms

a = 5.2410 Å, b = 8.4188 Å, c = 7.3407 Å
α = 76.71°, β = 69.09°, γ = 71.86°
Last column: nearest neighbours and their distance in Å.
Element x y z (fractional)
Ho1 0.6718 0.3810 0.2754  2 Ir 2.69-3.01
Ho2 0.2125 0.1270 0.4479  4 Ir 2.92-3.08, 1 Ho 3.20
Ho3 0.5000 0.0000 0.0000  2 Ag 2.62, 4 Ir 2.80-2.84
Ho4 0.7875 0.8730 0.5521  4 Ir 2.92-3.08, 1 Ho 3.20
Ho5 0.9235 0.3544 0.7985  1 Ir 2.71, 1 Ag 2.98
Ho6 0.0765 0.6456 0.2015  1 Ir 2.71, 1 Ag 2.98
Ho7 0.3282 0.6190 0.7246  2 Ir 2.69-3.01
Ir1 0.4316 0.7817 0.3552  3 Ho 2.69-2.92
Ir2 0.2950 0.3420 0.0680  6 Ho 2.71-3.02
Ir3 0.5684 0.2183 0.6448  3 Ho 2.69-2.92
Ir4 0.7050 0.6580 0.9320  6 Ho 2.71-3.02
Ag1 0.0000 0.0000 0.0000  2 Ho 2.62

(4)
DFT (PBE-GGA) results for a geometry-optimized MgMo2Cl structure.

Properties
Energy relative to the elements, uncorrected   266 meV/atom
Excess energy over the best structure of this formula in the dataset   0.3023 eV/atom
Mass density   5.7 g/cm3
Uncorrected energy   -6.010 eV per atom
Symmetry   C2/m (12)

a = 6.0478 Å, b = 6.0478 Å, c = 3.8887 Å
α = 102.28°, β = 102.28°, γ = 31.86°
Last column: nearest neighbours and their distance in Å.
Element x y z (fractional)
Mg1 0.7500 0.7500 0.7500  4 Cl 2.56
Mo1 0.4723 0.4723 0.5139  2 Mo 2.45, 1 Cl 2.56
Mo2 0.0277 0.0277 0.9861  2 Mo 2.45, 1 Cl 2.56
Cl1 0.2500 0.2500 0.2500  4 Mg 2.56, 2 Mo 2.56

(5)
DFT (PBE-GGA) results for a geometry-optimized CuRh2W structure.

Properties
Excess energy over the best structure of this formula in the dataset   0.1185 eV/atom
Mass density   13.2 g/cm3
Uncorrected energy   -7.968 eV per atom
Symmetry   Fm-3m (225)
Energy of formation   -3 kJ per mole of atoms

a = 4.3219 Å, b = 4.3219 Å, c = 4.3219 Å
α = 60.00°, β = 60.00°, γ = 60.00°
Last column: nearest neighbours and their distance in Å.
Element x y z (fractional)
Cu1 0.0000 0.0000 0.0000  8 Rh 2.65
Rh1 0.7500 0.7500 0.7500  4 W 2.65, 4 Cu 2.65
Rh2 0.2500 0.2500 0.2500  4 W 2.65, 4 Cu 2.65
W1 0.5000 0.5000 0.5000  8 Rh 2.65

(6)
DFT (PBE-GGA) results for a geometry-optimized CsMgAsBr2 structure.

Properties
Energy relative to the elements, uncorrected   -860 meV/atom
Excess energy over the best structure of this formula in the dataset   0.0000 eV/atom
Mass density   3.8 g/cm3
Uncorrected energy   -2.948 eV per atom
Symmetry   P4/mmm (123)

a = 5.6511 Å, b = 5.6511 Å, c = 5.3423 Å
α = 90.00°, β = 90.00°, γ = 90.00°
Last column: nearest neighbours and their distance in Å.
Element x y z (fractional)
Cs1 0.5000 0.5000 0.5000  8 Br 3.89, 4 As 4.00
Br1 0.0000 0.5000 0.0000  2 Mg 2.83
Br2 0.5000 0.0000 0.0000  2 Mg 2.83
As1 0.0000 0.0000 0.5000  2 Mg 2.67
Mg1 0.0000 0.0000 0.0000  2 As 2.67, 4 Br 2.83

(7)
DFT (PBE-GGA) results for a geometry-optimized VGaMo3 structure.

Properties
Excess energy over the best structure of this formula in the dataset   0.9792 eV/atom
Mass density   7.3 g/cm3
Uncorrected energy   -7.693 eV per atom
Symmetry   Pm-3m (221)
Energy of formation   119 kJ per mole of atoms

a = 4.5255 Å, b = 4.5255 Å, c = 4.5255 Å
α = 90.00°, β = 90.00°, γ = 90.00°
Last column: nearest neighbours and their distance in Å.
Element x y z (fractional)
V1 0.0000 0.0000 0.0000  6 Mo 2.26
Mo1 0.5000 0.0000 0.0000  2 V 2.26
Mo2 0.0000 0.5000 0.0000  2 V 2.26
Mo3 0.0000 0.0000 0.5000  2 V 2.26
Ga1 0.5000 0.5000 0.5000  12 Mo 3.20

(8)
DFT (PBE-GGA) results for a geometry-optimized DyPaMn2S8 structure.

Properties
Energy relative to the elements, uncorrected   -905 meV/atom
Mass density   4.9 g/cm3
Uncorrected energy   -6.360 eV per atom
Symmetry   I-4 (82)

a = 6.2869 Å, b = 6.2869 Å, c = 7.8699 Å
α = 113.54°, β = 113.54°, γ = 90.00°
Last column: nearest neighbours and their distance in Å.
Element x y z (fractional)
Mn1 0.2500 0.7500 0.5000  4 S 2.22
Mn2 0.5000 0.5000 0.0000  4 S 2.24
S1 0.7052 0.2641 0.8523  1 Mn 2.24
S2 0.6050 0.6779 0.6529  1 Mn 2.22
S3 0.4118 0.2948 0.1477  1 Mn 2.24
S4 0.3221 0.9522 0.3471  1 Mn 2.22
S5 0.0250 0.3950 0.3471  1 Mn 2.22
S6 0.7359 0.8529 0.1477  1 Mn 2.24
S7 0.1471 0.5882 0.8523  1 Mn 2.24
S8 0.0478 0.9750 0.6529  1 Mn 2.22
Pa1 0.0000 0.0000 0.0000  8 S 2.71-2.81
Dy1 0.7500 0.2500 0.5000  8 S 2.79-2.86

(9)
DFT (PBE-GGA) results for a geometry-optimized ZrP2PtCl structure.

Properties
Energy relative to the elements, uncorrected   493 meV/atom
Excess energy over the best structure of this formula in the dataset   0.1860 eV/atom
Mass density   5.2 g/cm3
Uncorrected energy   -4.958 eV per atom
Symmetry   P4/mmm (123)

a = 5.0782 Å, b = 5.0782 Å, c = 4.7725 Å
α = 90.00°, β = 90.00°, γ = 90.00°
Last column: nearest neighbours and their distance in Å.
Element x y z (fractional)
Zr1 0.0000 0.0000 0.0000  2 Cl 2.39, 4 P 2.54
P1 0.5000 0.0000 0.0000  2 Zr 2.54
P2 0.0000 0.5000 0.0000  2 Zr 2.54
Pt1 0.5000 0.5000 0.5000  8 P 3.48, 4 Cl 3.59
Cl1 0.0000 0.0000 0.5000  2 Zr 2.39

(10)
DFT (PBE-GGA) results for a geometry-optimized BaReRh4 structure.

Properties
Mass density   11.3 g/cm3
Uncorrected energy   -6.687 eV per atom
Symmetry   F-43m (216)
Energy of formation   59 kJ per mole of atoms

a = 5.3423 Å, b = 5.3423 Å, c = 5.3423 Å
α = 60.00°, β = 60.00°, γ = 60.00°
Last column: nearest neighbours and their distance in Å.
Element x y z (fractional)
Rh1 0.3738 0.3738 0.8785  6 Rh 2.65-2.70
Rh2 0.3738 0.3738 0.3738  6 Rh 2.65-2.70
Rh3 0.3738 0.8785 0.3738  6 Rh 2.65-2.70
Rh4 0.8785 0.3738 0.3738  6 Rh 2.65-2.70
Ba1 0.7500 0.7500 0.7500  12 Rh 3.13, 4 Re 3.27
Re1 0.0000 0.0000 0.0000  12 Rh 3.13, 4 Ba 3.27

Question: uncorrected energy of number 7 (VGaMo3)?
Answer: -7.693 eV per atom

Question: What is the uncorrected energy in the sixth record?
Answer: -2.948 eV per atom

Question: Among the records above, which one has the highest mass density?
Answer: CuRh2W